A relaxed NbGa2Cu2 crystal, computed with GGA-PBE.

Summary:
The value obtained for the total moment is 0.000 μB/cell. The formation energy comes out at -0.07 eV per atom. As for the polymorph energy (0 for the lowest one): 9 meV per atom.

a b c (Å): 7.263 7.263 2.775
angles (deg): 90.00 90.00 90.00
Positions (direct):
Nb (0.000, 0.000, 0.000)
Nb (0.500, 0.500, 0.000)
Ga (0.142, 0.358, 0.000)
Ga (0.358, 0.858, 0.000)
Ga (0.642, 0.142, 0.000)
Ga (0.858, 0.642, 0.000)
Cu (0.156, 0.656, 0.500)
Cu (0.344, 0.156, 0.500)
Cu (0.656, 0.844, 0.500)
Cu (0.844, 0.344, 0.500)

***

A relaxed NbGa2Cu2 crystal, computed with GGA-PBE.

Summary:
The value obtained for the total moment is 0.000 μB/cell. The formation energy comes out at -0.08 eV per atom. As for the polymorph energy (0 for the lowest one): 0 meV per atom.

a b c (Å): 3.692 3.692 10.912
angles (deg): 90.00 90.00 90.00
Positions (direct):
Nb (0.000, 0.000, 0.000)
Nb (0.500, 0.500, 0.500)
Ga (0.000, 0.000, 0.392)
Ga (0.000, 0.000, 0.608)
Ga (0.500, 0.500, 0.108)
Ga (0.500, 0.500, 0.892)
Cu (0.000, 0.500, 0.250)
Cu (0.000, 0.500, 0.750)
Cu (0.500, 0.000, 0.250)
Cu (0.500, 0.000, 0.750)

***

A relaxed NbGaCu crystal, computed with GGA-PBE.

Summary:
The value obtained for the total moment is 0.000 μB/cell. The formation energy comes out at -0.14 eV per atom.

a b c (Å): 2.897 2.897 10.756
angles (deg): 90.00 90.00 90.00
Positions (direct):
Nb (0.000, 0.000, 0.000)
Nb (0.500, 0.500, 0.500)
Ga (0.000, 0.000, 0.317)
Ga (0.500, 0.500, 0.817)
Cu (0.000, 0.000, 0.674)
Cu (0.500, 0.500, 0.174)

***

A relaxed Nb3Ga4Cu crystal, computed with GGA-PBE.

Summary:
The value obtained for the total moment is 0.000 μB/cell. The formation energy comes out at -0.20 eV per atom.

a b c (Å): 8.858 5.513 5.263
angles (deg): 90.00 90.00 90.00
Positions (direct):
Nb (0.000, 0.114, 0.000)
Nb (0.213, 0.630, 0.267)
Nb (0.287, 0.370, 0.767)
Nb (0.500, 0.886, 0.500)
Nb (0.713, 0.370, 0.767)
Nb (0.787, 0.630, 0.267)
Ga (0.000, 0.592, 0.892)
Ga (0.000, 0.918, 0.496)
Ga (0.248, 0.864, 0.787)
Ga (0.252, 0.136, 0.287)
Ga (0.500, 0.082, 0.996)
Ga (0.500, 0.408, 0.392)
Ga (0.748, 0.136, 0.287)
Ga (0.752, 0.864, 0.787)
Cu (0.000, 0.355, 0.501)
Cu (0.500, 0.645, 0.001)

***

A relaxed NbGa2Cu crystal, computed with GGA-PBE.

Summary:
The value obtained for the total moment is 3.820 μB/cell. The formation energy comes out at 0.09 eV per atom.

a b c (Å): 6.292 6.292 6.292
angles (deg): 90.00 90.00 90.00
Positions (direct):
Nb (0.000, 0.000, 0.000)
Nb (0.000, 0.500, 0.500)
Nb (0.500, 0.000, 0.500)
Nb (0.500, 0.500, 0.000)
Ga (0.250, 0.250, 0.250)
Ga (0.250, 0.250, 0.750)
Ga (0.250, 0.750, 0.250)
Ga (0.250, 0.750, 0.750)
Ga (0.750, 0.250, 0.250)
Ga (0.750, 0.250, 0.750)
Ga (0.750, 0.750, 0.250)
Ga (0.750, 0.750, 0.750)
Cu (0.000, 0.000, 0.500)
Cu (0.000, 0.500, 0.000)
Cu (0.500, 0.000, 0.000)
Cu (0.500, 0.500, 0.500)

***

A relaxed NbGaCu2 crystal, computed with GGA-PBE.

Summary:
The value obtained for the total moment is 0.000 μB/cell. The formation energy comes out at 0.34 eV per atom.

a b c (Å): 6.897 6.897 5.289
angles (deg): 90.00 90.00 90.00
Positions (direct):
Nb (0.000, 0.000, 0.000)
Nb (0.000, 0.500, 0.250)
Nb (0.500, 0.000, 0.750)
Nb (0.500, 0.500, 0.500)
Ga (0.000, 0.000, 0.500)
Ga (0.000, 0.500, 0.750)
Ga (0.500, 0.000, 0.250)
Ga (0.500, 0.500, 0.000)
Cu (0.228, 0.250, 0.625)
Cu (0.250, 0.728, 0.875)
Cu (0.250, 0.772, 0.375)
Cu (0.272, 0.250, 0.125)
Cu (0.728, 0.750, 0.125)
Cu (0.750, 0.228, 0.375)
Cu (0.750, 0.272, 0.875)
Cu (0.772, 0.750, 0.625)

***

A relaxed NbGa3Cu crystal, computed with GGA-PBE.

Summary:
The value obtained for the total moment is 1.267 μB/cell. The formation energy comes out at 0.60 eV per atom. As for the polymorph energy (0 for the lowest one): 0 meV per atom.

a b c (Å): 4.529 4.529 4.529
angles (deg): 90.00 90.00 90.00
Positions (direct):
Nb (0.000, 0.000, 0.000)
Ga (0.000, 0.500, 0.500)
Ga (0.500, 0.000, 0.500)
Ga (0.500, 0.500, 0.000)
Cu (0.500, 0.500, 0.500)

***

A relaxed Nb2GaCu2 crystal, computed with GGA-PBE.

Summary:
The value obtained for the total moment is 0.000 μB/cell. The formation energy comes out at 0.03 eV per atom.

a b c (Å): 6.337 6.337 3.841
angles (deg): 90.00 90.00 90.00
Positions (direct):
Nb (0.166, 0.334, 0.000)
Nb (0.334, 0.834, 0.000)
Nb (0.666, 0.166, 0.000)
Nb (0.834, 0.666, 0.000)
Ga (0.000, 0.000, 0.500)
Ga (0.500, 0.500, 0.500)
Cu (0.133, 0.633, 0.500)
Cu (0.367, 0.133, 0.500)
Cu (0.633, 0.867, 0.500)
Cu (0.867, 0.367, 0.500)